First-principles (PBEsol) data for a relaxed CePtRh crystal, as listed in the Alexandria database.

Output
Mass density   13.62 Mg/m³
Total energy   -48.53 eV for the cell shown
Energy of formation from the pure elements   -856 meV/atom

a b c (Å): 5.293 5.326 5.326
angles (deg): 60.47 60.21 60.21
Positions (direct):
Ce1 0.128 0.122 0.622
Ce2 0.872 0.878 0.378
Pt1 0.000 0.500 0.000
Pt2 0.500 0.500 0.000
Rh1 0.500 0.500 0.500
Rh2 0.500 0.000 0.000

First-principles (PBEsol) data for a relaxed CdFe2Tc crystal, as listed in the Alexandria database.

Output
Mass density   9.86 Mg/m³
Total energy   -28.38 eV for the cell shown
Energy of formation from the pure elements   502 meV/atom

a b c (Å): 4.250 4.250 4.250
angles (deg): 60.00 60.00 60.00
Positions (direct):
Fe1 0.250 0.250 0.250
Fe2 0.750 0.750 0.750
Tc1 0.000 0.000 0.000
Cd1 0.500 0.500 0.500

First-principles (PBEsol) data for a relaxed ScRh3 crystal, as listed in the Alexandria database.

Output
Mass density   10.06 Mg/m³
Total energy   -33.01 eV for the cell shown
Energy of formation from the pure elements   -499 meV/atom

a b c (Å): 3.897 3.897 4.729
angles (deg): 114.33 114.33 90.00
Positions (direct):
Sc1 0.500 0.500 0.000
Rh1 0.750 0.250 0.500
Rh2 0.250 0.750 0.500
Rh3 0.000 0.000 0.000

First-principles (PBEsol) data for a relaxed Nb2CrRu crystal, as listed in the Alexandria database.

Output
Mass density   9.37 Mg/m³
Total energy   -42.52 eV for the cell shown
Energy of formation from the pure elements   -115 meV/atom

a b c (Å): 4.395 4.395 4.395
angles (deg): 60.00 60.00 60.00
Positions (direct):
Ru1 0.500 0.500 0.500
Nb1 0.250 0.250 0.250
Nb2 0.750 0.750 0.750
Cr1 0.000 0.000 0.000

First-principles (PBEsol) data for a relaxed CoGe crystal, as listed in the Alexandria database.

Output
Mass density   8.55 Mg/m³
Total energy   -53.07 eV for the cell shown
Energy of formation from the pure elements   -296 meV/atom

a b c (Å): 3.714 4.862 6.035
angles (deg): 99.26 107.92 90.00
Positions (direct):
Co1 0.000 0.000 0.000
Co2 0.000 0.500 0.000
Co3 0.802 0.672 0.604
Co4 0.198 0.328 0.396
Ge1 0.817 0.180 0.633
Ge2 0.183 0.820 0.367
Ge3 0.570 0.282 0.139
Ge4 0.430 0.718 0.861

First-principles (PBEsol) data for a relaxed Mn4Fe5 crystal, as listed in the Alexandria database.

Output
Mass density   8.64 Mg/m³
Total energy   -82.76 eV for the cell shown
Energy of formation from the pure elements   123 meV/atom

a b c (Å): 2.765 6.049 6.049
angles (deg): 87.01 76.79 76.79
Positions (direct):
Fe1 0.000 0.000 0.000
Fe2 0.333 0.333 0.000
Fe3 0.667 0.667 0.000
Fe4 0.667 0.000 0.667
Fe5 0.333 0.000 0.333
Mn1 0.338 0.662 0.662
Mn2 0.662 0.338 0.338
Mn3 0.000 0.662 0.338
Mn4 0.000 0.338 0.662

First-principles (PBEsol) data for a relaxed Fe2RhW crystal, as listed in the Alexandria database.

Output
Mass density   12.85 Mg/m³
Total energy   -39.26 eV for the cell shown
Energy of formation from the pure elements   152 meV/atom

a b c (Å): 2.611 2.611 7.548
angles (deg): 90.00 90.00 89.71
Positions (direct):
Fe1 0.000 0.000 0.262
Fe2 0.000 0.000 0.738
Rh1 0.500 0.500 0.500
W1 0.500 0.500 0.000

First-principles (PBEsol) data for a relaxed AlAg3 crystal, as listed in the Alexandria database.

Output
Mass density   8.98 Mg/m³
Total energy   -28.64 eV for the cell shown
Energy of formation from the pure elements   -74 meV/atom

a b c (Å): 3.960 4.094 8.000
angles (deg): 90.00 90.00 90.00
Positions (direct):
Al1 0.500 0.750 0.869
Al2 0.500 0.250 0.131
Ag1 0.000 0.250 0.370
Ag2 0.000 0.750 0.630
Ag3 0.000 0.250 0.884
Ag4 0.000 0.750 0.116
Ag5 0.500 0.750 0.371
Ag6 0.500 0.250 0.629

First-principles (PBEsol) data for a relaxed MgRhSe2 crystal, as listed in the Alexandria database.

Output
Mass density   5.92 Mg/m³
Total energy   -17.80 eV for the cell shown

a b c (Å): 3.369 3.369 8.362
angles (deg): 78.38 78.38 60.00
Positions (direct):
Mg1 0.500 0.500 0.500
Rh1 0.000 0.000 0.000
Se1 0.905 0.905 0.285
Se2 0.095 0.095 0.715

First-principles (PBEsol) data for a relaxed PmSmRh2 crystal, as listed in the Alexandria database.

Output
Mass density   10.13 Mg/m³
Total energy   -29.07 eV for the cell shown
Energy of formation from the pure elements   -641 meV/atom

a b c (Å): 4.879 4.879 4.879
angles (deg): 60.00 60.00 60.00
Positions (direct):
Rh1 0.250 0.250 0.250
Rh2 0.750 0.750 0.750
Sm1 0.000 0.000 0.000
Pm1 0.500 0.500 0.500

First-principles (PBEsol) data for a relaxed Cd2CuCl crystal, as listed in the Alexandria database.

Output
Mass density   7.00 Mg/m³
Total energy   -8.06 eV for the cell shown

a b c (Å): 3.933 3.933 5.691
angles (deg): 110.21 110.21 90.00
Positions (direct):
Cl1 0.500 0.500 0.000
Cu1 0.000 0.000 0.000
Cd1 0.750 0.250 0.500
Cd2 0.250 0.750 0.500

First-principles (PBEsol) data for a relaxed YTlZnCd2 crystal, as listed in the Alexandria database.

Output
Mass density   5.41 Mg/m³
Total energy   -9.60 eV for the cell shown
Energy of formation from the pure elements   766 meV/atom

a b c (Å): 5.364 5.780 5.780
angles (deg): 90.00 90.00 90.00
Positions (direct):
Y1 0.000 0.000 0.000
Tl1 0.500 0.500 0.500
Zn1 0.500 0.000 0.000
Cd1 0.000 0.000 0.500
Cd2 0.000 0.500 0.000

First-principles (PBEsol) data for a relaxed CrB6H16 crystal, as listed in the Alexandria database.

Output
Mass density   1.26 Mg/m³
Total energy   -104.88 eV for the cell shown

a b c (Å): 4.199 5.529 8.557
angles (deg): 105.46 93.48 111.28
Positions (direct):
Cr1 0.000 0.500 0.500
B1 0.318 0.617 0.298
B2 0.682 0.383 0.702
B3 0.100 0.326 0.119
B4 0.271 0.298 0.307
B5 0.900 0.674 0.881
B6 0.729 0.702 0.693
H1 0.257 0.298 0.006
H2 0.387 0.220 0.678
H3 0.538 0.262 0.332
H4 0.141 0.731 0.381
H5 0.889 0.894 0.826
H6 0.462 0.738 0.668
H7 0.859 0.269 0.619
H8 0.188 0.611 0.158
H9 0.212 0.754 0.916
H10 0.743 0.702 0.994
H11 0.788 0.246 0.084
H12 0.072 0.197 0.399
H13 0.928 0.803 0.601
H14 0.111 0.106 0.174
H15 0.812 0.389 0.842
H16 0.613 0.780 0.322

First-principles (PBEsol) data for a relaxed ZnAgIr2 crystal, as listed in the Alexandria database.

Output
Mass density   15.86 Mg/m³
Total energy   -23.83 eV for the cell shown
Energy of formation from the pure elements   179 meV/atom

a b c (Å): 2.701 4.543 4.766
angles (deg): 90.00 93.09 90.00
Positions (direct):
Ag1 0.000 0.500 0.500
Ir1 0.725 0.000 0.762
Ir2 0.275 0.000 0.238
Zn1 0.500 0.500 0.000

First-principles (PBEsol) data for a relaxed Y3HgS crystal, as listed in the Alexandria database.

Output
Mass density   4.99 Mg/m³
Total energy   -24.86 eV for the cell shown

a b c (Å): 5.498 5.498 5.498
angles (deg): 90.00 90.00 90.00
Positions (direct):
Y1 0.000 0.500 0.000
Y2 0.000 0.000 0.500
Y3 0.500 0.000 0.000
S1 0.500 0.500 0.500
Hg1 0.000 0.000 0.000

First-principles (PBEsol) data for a relaxed ZrMnIn2 crystal, as listed in the Alexandria database.

Output
Mass density   7.79 Mg/m³
Total energy   -24.38 eV for the cell shown
Energy of formation from the pure elements   110 meV/atom

a b c (Å): 3.132 3.132 9.606
angles (deg): 80.62 80.62 60.00
Positions (direct):
In1 0.244 0.244 0.268
In2 0.756 0.756 0.732
Mn1 0.500 0.500 0.500
Zr1 0.000 0.000 0.000

First-principles (PBEsol) data for a relaxed ZnBS2 crystal, as listed in the Alexandria database.

Output
Mass density   4.01 Mg/m³
Total energy   -35.70 eV for the cell shown

a b c (Å): 5.422 5.422 5.422
angles (deg): 94.00 117.72 117.72
Positions (direct):
Zn1 0.000 0.000 0.000
Zn2 0.500 0.750 0.250
B1 0.000 0.500 0.500
B2 0.500 0.250 0.750
S1 0.077 0.875 0.452
S2 0.923 0.375 0.798
S3 0.423 0.548 0.625
S4 0.577 0.202 0.125

First-principles (PBEsol) data for a relaxed RbLa3Tl crystal, as listed in the Alexandria database.

Output
Mass density   6.78 Mg/m³
Total energy   -15.14 eV for the cell shown
Energy of formation from the pure elements   911 meV/atom

a b c (Å): 5.574 5.574 5.574
angles (deg): 90.00 90.00 90.00
Positions (direct):
Tl1 0.500 0.500 0.500
Rb1 0.000 0.000 0.000
La1 0.000 0.500 0.000
La2 0.000 0.000 0.500
La3 0.500 0.000 0.000

First-principles (PBEsol) data for a relaxed SrAgAu2 crystal, as listed in the Alexandria database.

Output
Mass density   11.39 Mg/m³
Total energy   -14.04 eV for the cell shown
Energy of formation from the pure elements   -260 meV/atom

a b c (Å): 3.689 3.689 6.313
angles (deg): 90.00 90.00 90.00
Positions (direct):
Ag1 0.500 0.500 0.799
Au1 0.000 0.000 0.987
Au2 0.500 0.500 0.224
Sr1 0.000 0.000 0.489

First-principles (PBEsol) data for a relaxed Lu3Ga10Ni crystal, as listed in the Alexandria database.

Output
Mass density   8.78 Mg/m³
Total energy   -61.18 eV for the cell shown
Energy of formation from the pure elements   -501 meV/atom

a b c (Å): 4.097 7.901 8.211
angles (deg): 73.95 75.55 74.97
Positions (direct):
Lu1 0.318 0.700 0.665
Lu2 0.685 0.315 0.316
Lu3 0.998 0.995 0.008
Ga1 0.160 0.121 0.558
Ga2 0.845 0.897 0.412
Ga3 0.147 0.577 0.129
Ga4 0.856 0.410 0.878
Ga5 0.999 0.505 0.496
Ga6 0.501 0.716 0.282
Ga7 0.491 0.304 0.714
Ga8 0.651 0.974 0.725
Ga9 0.339 0.258 0.064
Ga10 0.667 0.710 0.957
Ni1 0.343 0.017 0.298

First-principles (PBEsol) data for a relaxed Ca3Mg2Zn crystal, as listed in the Alexandria database.

Output
Mass density   2.26 Mg/m³
Total energy   -23.53 eV for the cell shown
Energy of formation from the pure elements   -58 meV/atom

a b c (Å): 6.289 7.469 7.469
angles (deg): 100.93 90.00 90.00
Positions (direct):
Ca1 0.750 0.922 0.078
Ca2 0.250 0.078 0.922
Ca3 0.750 0.410 0.945
Ca4 0.250 0.590 0.055
Ca5 0.750 0.055 0.590
Ca6 0.250 0.945 0.410
Mg1 0.000 0.664 0.664
Mg2 0.500 0.336 0.336
Mg3 0.000 0.336 0.336
Mg4 0.500 0.664 0.664
Zn1 0.750 0.661 0.339
Zn2 0.250 0.339 0.661

First-principles (PBEsol) data for a relaxed NaIn2Pb2 crystal, as listed in the Alexandria database.

Output
Mass density   7.06 Mg/m³
Total energy   -15.36 eV for the cell shown
Energy of formation from the pure elements   0 meV/atom

a b c (Å): 5.050 5.050 7.114
angles (deg): 110.79 110.79 90.00
Positions (direct):
Pb1 0.250 0.750 0.500
Pb2 0.750 0.250 0.500
Na1 0.000 0.000 0.000
In1 0.387 0.387 0.775
In2 0.613 0.613 0.225

First-principles (PBEsol) data for a relaxed TcRh2Br crystal, as listed in the Alexandria database.

Output
Mass density   10.74 Mg/m³
Total energy   -27.27 eV for the cell shown

a b c (Å): 2.876 4.447 4.863
angles (deg): 93.15 107.20 90.00
Positions (direct):
Br1 0.000 0.500 0.000
Rh1 0.228 0.234 0.455
Rh2 0.772 0.766 0.545
Tc1 0.500 0.000 0.000

First-principles (PBEsol) data for a relaxed P2RhCl crystal, as listed in the Alexandria database.

Output
Mass density   5.26 Mg/m³
Total energy   -21.63 eV for the cell shown

a b c (Å): 3.054 3.054 6.777
angles (deg): 90.00 90.00 90.00
Positions (direct):
Cl1 0.500 0.500 0.500
P1 0.000 0.000 0.809
P2 0.000 0.000 0.191
Rh1 0.500 0.500 0.000